Below is a relaxed MnSbOsO crystal, with properties calculated at the PBE+U level.

Cell lengths 7.896, 7.896, 2.926 Å; angles 100.57, 100.57, 21.63 degrees
Atoms (fractional coordinates):
Mn 0.000 0.000 0.000
Sb 0.725 0.725 0.195
Os 0.384 0.384 0.383
O 0.587 0.587 0.083

Magnetic moment = 3.01 μB/f.u.
Crystal system = monoclinic
Density of states at the Fermi level = 1.9 states/eV/cell
Total energy = -6.92 eV/atom